## SrCa2CdRh (PBE)

Data for crystalline SrCa2CdRh at its relaxed geometry.

Summary:
Symmetry: No. 123
Formation energy from the elements in eV per atom: -0.218
Total magnetization in Bohr magnetons per cell: 0.00

a = 5.4707 Å, b = 5.4707 Å, c = 5.7920 Å
α = 90.00°, β = 90.00°, γ = 90.00°
Fractional coordinates of all 5 atoms:
1 Sr 0.0000 0.0000 0.5000
2 Ca 0.0000 0.5000 0.0000
3 Ca 0.5000 0.0000 0.0000
4 Rh 0.0000 0.0000 0.0000
5 Cd 0.5000 0.5000 0.5000



## CuIrS2 (PBE)

Data for crystalline CuIrS2 at its relaxed geometry.

Summary:
Symmetry: No. 63
Formation energy (no corrections) in eV/atom: 0.188
Total magnetization in Bohr magnetons per cell: 0.00

a = 9.3368 Å, b = 9.3368 Å, c = 4.5859 Å
α = 90.00°, β = 90.00°, γ = 162.29°
Fractional coordinates of all 8 atoms:
1 S 0.1799 0.8201 0.2500
2 S 0.8201 0.1799 0.7500
3 S 0.9227 0.0773 0.2500
4 S 0.0773 0.9227 0.7500
5 Ir 0.0477 0.9523 0.2500
6 Ir 0.9523 0.0477 0.7500
7 Cu 0.3112 0.6888 0.2500
8 Cu 0.6888 0.3112 0.7500



## HgTeF2 (PBE)

Data for crystalline HgTeF2 at its relaxed geometry.

Summary:
Symmetry: No. 122
Distance to the lowest polymorph of the same formula in meV/atom: 220.9
Formation energy (no corrections) in eV/atom: -0.900
Total magnetization in Bohr magnetons per cell: 0.00

a = 8.7352 Å, b = 8.7352 Å, c = 6.8230 Å
α = 50.20°, β = 50.20°, γ = 90.00°
Fractional coordinates of all 8 atoms:
1 Te 0.5000 0.5000 0.0000
2 Te 0.2500 0.7500 0.5000
3 Hg 0.0000 0.0000 0.0000
4 Hg 0.7500 0.2500 0.5000
5 F 0.3924 0.1250 0.2500
6 F 0.3576 0.6250 0.2500
7 F 0.3750 0.6076 0.7500
8 F 0.8750 0.6424 0.7500



## Y3Te2 (PBE)

Data for crystalline Y3Te2 at its relaxed geometry.

Summary:
Symmetry: No. 43
Formation energy (no corrections) in eV/atom: -0.915
Total magnetization in Bohr magnetons per cell: 0.00

a = 9.3193 Å, b = 8.5186 Å, c = 6.2259 Å
α = 76.66°, β = 62.80°, γ = 40.54°
Fractional coordinates of all 10 atoms:
1 Y 0.3921 0.4033 0.4759
2 Y 0.7286 0.4759 0.4033
3 Y 0.8467 0.8579 0.5214
4 Y 0.7741 0.5214 0.8579
5 Y 0.0784 0.9216 0.9216
6 Y 0.3284 0.1716 0.1716
7 Te 0.5698 0.3270 0.8722
8 Te 0.2310 0.8722 0.3270
9 Te 0.9230 0.6802 0.0190
10 Te 0.3778 0.0190 0.6802



## GdZrCuPd (PBE)

Data for crystalline GdZrCuPd at its relaxed geometry.

Summary:
Symmetry: No. 216
Formation energy from the elements in eV per atom: -0.346
Total magnetization in Bohr magnetons per cell: 7.64

a = 4.8472 Å, b = 4.8472 Å, c = 4.8472 Å
α = 60.00°, β = 60.00°, γ = 60.00°
Site moments in Bohr magnetons follow the coordinates.
Fractional coordinates of all 4 atoms:
1 Gd 0.5000 0.5000 0.5000  7.10
2 Zr 0.0000 0.0000 0.0000  0.22
3 Pd 0.7500 0.7500 0.7500  0.02
4 Cu 0.2500 0.2500 0.2500  0.01



## Mg7Te5 (PBE)

Data for crystalline Mg7Te5 at its relaxed geometry.

Summary:
Symmetry: No. 107
Formation energy (no corrections) in eV/atom: -0.435
Total magnetization in Bohr magnetons per cell: 0.00

a = 7.7397 Å, b = 7.7397 Å, c = 7.7397 Å
α = 103.86°, β = 103.86°, γ = 121.40°
Fractional coordinates of all 12 atoms:
1 Mg 0.3438 0.3438 0.0000
2 Mg 0.0018 0.5018 0.5000
3 Mg 0.5018 0.0018 0.5000
4 Mg 0.5027 0.7543 0.7484
5 Mg 0.0060 0.7543 0.2516
6 Mg 0.7543 0.5027 0.7484
7 Mg 0.7543 0.0060 0.2516
8 Te 0.9545 0.9545 0.0000
9 Te 0.6751 0.6751 0.4100
10 Te 0.2652 0.2652 0.5900
11 Te 0.2652 0.6751 0.0000
12 Te 0.6751 0.2652 0.0000